Record 1
Compound: CsNa2P
Source: Alexandria
Functional: PBE
Structure: relaxed

Structure (POSCAR):
```
CsNa2P
1.0
4.3428 -2.5077 0.0000
4.3428 2.5077 0.0000
-2.9025 0.0000 6.5629
Cs Na P
1 2 1
Direct
0.0000 0.0000 0.0000
0.1789 0.1789 0.5356
0.4700 0.4700 0.4091
0.8071 0.8071 0.4204
```

- Energy of formation from the pure elements: -0.258 eV/atom


Record 2
Compound: La2ZrAuN
Source: Alexandria
Functional: PBE
Structure: relaxed

Structure (POSCAR):
```
La2ZrAuN
1.0
5.2030 0.0000 0.0000
0.0000 5.2030 0.0000
0.0000 0.0000 4.3464
La Zr Au N
2 1 1 1
Direct
0.0000 0.5000 0.0000
0.5000 0.0000 0.0000
0.0000 0.0000 0.5000
0.5000 0.5000 0.5000
0.0000 0.0000 0.0000
```

- ΔE_f (raw): -797 meV/atom


Record 3
Compound: Dy2BeIr
Source: Alexandria
Functional: PBE
Structure: relaxed

Structure (POSCAR):
```
Dy2BeIr
1.0
0.0000 3.4262 3.4262
3.4262 0.0000 3.4262
3.4262 3.4262 0.0000
Dy Be Ir
2 1 1
Direct
0.2500 0.2500 0.2500
0.7500 0.7500 0.7500
0.0000 0.0000 0.0000
0.5000 0.5000 0.5000
```

- Energy of formation from the pure elements: -0.405 eV/atom


Record 4
Compound: Ga2SiSe
Source: Alexandria
Functional: PBE
Structure: relaxed

Structure (POSCAR):
```
Ga2SiSe
1.0
-2.8721 2.8721 5.8069
2.8721 -2.8721 5.8069
2.8721 2.8721 -5.8069
Ga Si Se
4 2 2
Direct
0.0973 0.6250 0.9723
0.3750 0.3473 0.4723
0.6527 0.1250 0.0277
0.8750 0.9027 0.5277
0.0000 0.0000 0.0000
0.7500 0.2500 0.5000
0.2500 0.7500 0.5000
0.5000 0.5000 0.0000
```

- ΔE_f (raw): -253 meV/atom


Record 5
Compound: SmLuTiIn
Source: Alexandria
Functional: PBE
Structure: relaxed

Structure (POSCAR):
```
SmLuTiIn
1.0
0.0000 3.7160 3.7160
3.7160 0.0000 3.7160
3.7160 3.7160 0.0000
Sm Lu Ti In
1 1 1 1
Direct
0.0000 0.0000 0.0000
0.5000 0.5000 0.5000
0.2500 0.2500 0.2500
0.7500 0.7500 0.7500
```

- Energy of formation from the pure elements: -0.070 eV/atom


Record 6
Compound: Cs2NaI
Source: Alexandria
Functional: PBE
Structure: relaxed

Structure (POSCAR):
```
Cs2NaI
1.0
2.5360 1.4641 13.4134
-2.5360 1.4641 13.4134
0.0000 -2.9283 13.4134
Cs Na I
2 1 1
Direct
0.1043 0.1043 0.1043
0.8957 0.8957 0.8957
0.0000 0.0000 0.0000
0.5000 0.5000 0.5000
```

- ΔE_f (raw): -615 meV/atom


Record 7
Compound: CeScCdBi
Source: Alexandria
Functional: PBE
Structure: relaxed

Structure (POSCAR):
```
CeScCdBi
1.0
0.0000 3.7612 3.7612
3.7612 0.0000 3.7612
3.7612 3.7612 0.0000
Ce Sc Cd Bi
1 1 1 1
Direct
0.0000 0.0000 0.0000
0.5000 0.5000 0.5000
0.7500 0.7500 0.7500
0.2500 0.2500 0.2500
```

- Energy of formation from the pure elements: -0.327 eV/atom


Record 8
Compound: Ta4TePb
Source: Alexandria
Functional: PBE
Structure: relaxed

Structure (POSCAR):
```
Ta4TePb
1.0
0.0000 3.9960 3.9960
3.9960 0.0000 3.9960
3.9960 3.9960 0.0000
Ta Te Pb
4 1 1
Direct
0.3762 0.3762 0.3762
0.3762 0.3762 0.8715
0.3762 0.8715 0.3762
0.8715 0.3762 0.3762
0.0000 0.0000 0.0000
0.7500 0.7500 0.7500
```

- ΔE_f (raw): 541 meV/atom


Record 9
Compound: La2CoOs
Source: Alexandria
Functional: PBE
Structure: relaxed

Structure (POSCAR):
```
La2CoOs
1.0
2.0902 1.2068 7.3285
-2.0902 1.2068 7.3285
0.0000 -2.4135 7.3285
La Co Os
2 1 1
Direct
0.0000 0.0000 0.0000
0.1718 0.1718 0.1718
0.7537 0.7537 0.7537
0.4182 0.4182 0.4182
```

- Energy of formation from the pure elements: -0.100 eV/atom


Record 10
Compound: BaPm2Hg6
Source: Alexandria
Functional: PBE
Structure: relaxed

Structure (POSCAR):
```
BaPm2Hg6
1.0
-1.9413 4.3163 7.6694
1.9413 -4.3163 7.6694
1.9413 4.3163 -7.6694
Ba Pm Hg
1 2 6
Direct
0.0000 0.0000 0.0000
0.3546 0.8546 0.5000
0.6454 0.1454 0.5000
0.0044 0.3246 0.6798
0.3320 0.5000 0.8320
0.3552 0.6754 0.6798
0.6448 0.3246 0.3202
0.6680 0.5000 0.1680
0.9956 0.6754 0.3202
```

- Energy of formation from the pure elements: -0.409 eV/atom


Record 11
Compound: AgOs2Ru2
Source: Alexandria
Functional: PBE
Structure: relaxed

Structure (POSCAR):
```
AgOs2Ru2
1.0
7.5682 0.0000 0.0000
0.0000 7.5682 0.0000
0.0000 0.0000 2.7355
Ag Os Ru
2 4 4
Direct
0.0000 0.0000 0.0000
0.5000 0.5000 0.0000
0.1213 0.3787 0.0000
0.3787 0.8787 0.0000
0.6213 0.1213 0.0000
0.8787 0.6213 0.0000
0.1685 0.6685 0.5000
0.3315 0.1685 0.5000
0.6685 0.8315 0.5000
0.8315 0.3315 0.5000
```

- Energy of formation from the pure elements: 0.389 eV/atom


Record 12
Compound: GePPtCl2
Source: Alexandria
Functional: PBE
Structure: relaxed

Structure (POSCAR):
```
GePPtCl2
1.0
4.6332 0.0000 0.0000
0.0000 4.6332 0.0000
0.0000 0.0000 5.1519
Ge P Pt Cl
1 1 1 2
Direct
0.0000 0.0000 0.0000
0.0000 0.0000 0.5000
0.5000 0.5000 0.5000
0.0000 0.5000 0.0000
0.5000 0.0000 0.0000
```

- ΔE_f (raw): 718 meV/atom